# 1
Below is a relaxed structure of NaVPS2, with properties calculated at the GGA-PBE level.

Results
E_form (uncorrected) = 1.363 eV per atom
DFT total energy = -3.4578 eV/atom

Cell: 4.782 4.782 4.632 Å, 90.00 90.00 90.00°
Space group P4/mmm (No. 123)
Inequivalent atoms, fractional coordinates:
Na: 0.000 0.000 0.000 x1
V: 0.500 0.500 0.500 x1
P: 0.000 0.000 0.500 x1
S: 0.000 0.500 0.000 x2

# 2
Below is a relaxed structure of NaVPS2, with properties calculated at the GGA-PBE level.

Results
E_form (uncorrected) = -0.357 eV per atom
DFT total energy = -5.1777 eV/atom

Cell: 4.624 4.624 4.625 Å, 90.00 90.00 90.00°
Space group P4/mmm (No. 123)
Inequivalent atoms, fractional coordinates:
Na: 0.000 0.000 0.000 x1
V: 0.500 0.500 0.500 x1
P: 0.500 0.500 0.000 x1
S: 0.000 0.500 0.500 x2

no.,relative energy among the computed polymorphs (meV/atom)
1,1720
2,0